First-principles (PBE-GGA) data for a geometry-optimized ZrTaNb2Bi structure, as listed in Alexandria via LeMat-Bulk.

CIF file:
```
data_ZrTaNb2Bi
_space_group_name_H-M_alt 'P 4/m m m'
_space_group_IT_number 123
_space_group_name_Hall '-P 4 2'
_cell_length_a 4.9088
_cell_length_b 4.9088
_cell_length_c 5.2832
_cell_angle_alpha 90.00
_cell_angle_beta 90.00
_cell_angle_gamma 90.00
loop_
_atom_site_label
_atom_site_type_symbol
_atom_site_fract_x
_atom_site_fract_y
_atom_site_fract_z
Zr1 Zr 0.0000 0.0000 0.0000
Ta1 Ta 0.0000 0.0000 0.5000
Nb1 Nb 0.0000 0.5000 0.5000
Bi1 Bi 0.5000 0.5000 0.0000
```

Results
magnetic moment	0.00	Bohr magnetons per cell
ΔH_f (0 K)	1039	meV/atom
DOS at the Fermi energy	5.2	states/eV/cell